[1]
A plane-wave DFT calculation with PBE was carried out for an optimized crystal structure of LaCuNiPb2.

```
LaCuNiPb2
1.0
4.630 0.000 0.000
0.000 4.630 0.000
0.000 0.000 10.613
La Cu Ni Pb
2 2 2 4
Cartesian
1.157 1.157 2.589
3.472 3.472 8.024
1.157 3.472 0.000
3.472 1.157 0.000
1.157 1.157 6.633
3.472 3.472 3.980
1.157 1.157 9.189
1.157 3.472 5.306
3.472 1.157 5.306
3.472 3.472 1.424
```

Summary:
SG: P4/nmm (129)
Electronic total energy (eV for the cell shown): -45.854



[2]
A plane-wave DFT calculation with PBE was carried out for an optimized crystal structure of La2NdSi4Ni2Pd2.

```
La2NdSi4Ni2Pd2
1.0
-2.052 2.098 12.264
2.052 -2.098 12.264
2.052 2.098 -12.264
La Nd Si Ni Pd
2 1 4 2 2
Cartesian
0.000 0.000 3.723
0.000 0.000 20.804
0.000 2.098 0.000
2.052 0.000 1.179
0.000 0.000 7.259
0.000 0.000 17.268
0.000 2.098 11.085
2.052 0.000 6.141
0.000 2.098 6.123
0.000 0.000 9.808
0.000 0.000 14.719
```

Summary:
SG: Immm (71)
Electronic total energy (eV for the cell shown): -67.429



[3]
A plane-wave DFT calculation with PBE was carried out for an optimized crystal structure of TlNi15.

```
TlNi15
1.0
6.791 0.000 0.000
0.000 2.558 0.000
-0.006 0.000 33.705
Tl Ni
2 30
Cartesian
0.000 0.000 0.000
1.695 1.279 20.069
6.791 0.000 3.194
0.000 0.000 5.693
6.790 0.000 8.164
0.000 0.000 10.655
6.786 0.000 13.141
6.786 0.000 15.640
0.019 0.000 18.150
1.679 1.279 1.932
1.700 1.279 6.935
1.696 1.279 9.415
1.693 1.279 11.896
1.696 1.279 14.392
1.696 1.279 16.888
1.705 1.279 4.439
3.370 0.000 18.151
3.396 0.000 0.777
3.396 0.000 3.189
3.394 0.000 5.684
3.395 0.000 8.174
3.392 0.000 10.664
3.397 0.000 13.142
3.397 0.000 15.640
5.085 1.279 4.440
5.090 1.279 6.937
5.093 1.279 9.409
5.092 1.279 14.396
5.091 1.279 16.892
5.091 1.279 19.294
5.095 1.279 11.901
5.113 1.279 1.930
```

Summary:
SG: Pm (6)
Offset from the most stable computed form (meV/atom): 59.9
Electronic total energy (eV for the cell shown): -166.956



[4]
A plane-wave DFT calculation with PBE was carried out for an optimized crystal structure of SrCdNO.

```
SrCdNO
1.0
4.469 0.000 0.000
0.000 4.469 0.000
0.000 0.000 7.833
Sr Cd N O
2 2 2 2
Cartesian
1.117 1.117 0.904
3.352 3.352 6.930
1.117 3.352 3.917
3.352 1.117 3.917
1.117 1.117 3.632
3.352 3.352 4.201
1.117 3.352 0.000
3.352 1.117 0.000
```

Summary:
SG: P4/nmm (129)
Offset from the most stable computed form (meV/atom): 15.1
Electronic total energy (eV for the cell shown): -37.031



[5]
A plane-wave DFT calculation with PBE was carried out for an optimized crystal structure of AgBiAs2.

```
AgBiAs2
1.0
7.071 0.000 0.000
0.000 7.071 0.000
0.000 0.000 7.071
Ag Bi As
4 4 8
Cartesian
0.000 0.000 0.000
0.000 3.536 3.536
3.536 0.000 3.536
3.536 3.536 0.000
1.768 1.768 5.304
1.768 5.304 1.768
5.304 1.768 1.768
5.304 5.304 5.304
0.000 0.000 3.536
0.000 3.536 0.000
1.768 1.768 1.768
1.768 5.304 5.304
3.536 0.000 0.000
3.536 3.536 3.536
5.304 1.768 5.304
5.304 5.304 1.768
```

Summary:
SG: F-43m (216)
Electronic total energy (eV for the cell shown): -59.012



[6]
A plane-wave DFT calculation with PBE was carried out for an optimized crystal structure of TmSc2N3.

```
TmSc2N3
1.0
3.253 0.000 0.000
-1.627 2.818 0.000
0.000 0.000 7.960
Tm Sc N
1 2 3
Cartesian
0.000 0.000 0.000
0.000 1.878 2.696
1.627 0.939 5.265
0.000 0.000 3.980
0.000 1.878 6.559
1.627 0.939 1.402
```

Summary:
SG: P-3m1 (164)
Electronic total energy (eV for the cell shown): -53.269



[7]
A plane-wave DFT calculation with PBE was carried out for an optimized crystal structure of ThBeW.

```
ThBeW
1.0
6.201 0.000 0.000
0.000 6.201 0.000
0.000 0.000 6.201
Th Be W
4 4 4
Cartesian
0.000 0.000 0.000
0.000 3.101 3.101
3.101 0.000 3.101
3.101 3.101 0.000
1.550 1.550 1.550
1.550 4.651 4.651
4.651 1.550 4.651
4.651 4.651 1.550
0.000 0.000 3.101
0.000 3.101 0.000
3.101 0.000 0.000
3.101 3.101 3.101
```

Summary:
SG: F-43m (216)
Offset from the most stable computed form (meV/atom): 0.0
Electronic total energy (eV for the cell shown): -88.528



[8]
A plane-wave DFT calculation with PBE was carried out for an optimized crystal structure of Dy2ErLu4Ni2Te2.

```
Dy2ErLu4Ni2Te2
1.0
-1.906 7.677 4.736
1.906 -7.677 4.736
1.906 7.677 -4.736
Dy Er Lu Ni Te
2 1 4 2 2
Cartesian
0.000 2.060 0.000
0.000 13.294 0.000
0.000 0.000 3.973
1.906 -2.846 2.810
1.906 2.846 2.810
0.000 5.422 1.389
0.000 9.932 1.389
1.906 4.081 -0.108
0.000 3.596 4.629
1.906 0.000 1.471
0.000 0.000 7.144
```

Summary:
SG: Imm2 (44)
Offset from the most stable computed form (meV/atom): 2.7
Electronic total energy (eV for the cell shown): -56.760